A relaxed Rb2OsCl2O4 crystal. Source: Alexandria, functional GGA-PBE.

Values from the calculation:
The calculation puts the energy relative to the elements, uncorrected at -1.167 eV per atom. As for the total energy: -47.20 eV per cell. Its symmetry is I4/mmm (139).

CIF file:
```
data_Rb2OsCl2O4
_symmetry_space_group_name_H-M 'P 1'
_symmetry_Int_Tables_number 1
_cell_length_a 6.493
_cell_length_b 6.493
_cell_length_c 6.493
_cell_angle_alpha 96.80
_cell_angle_beta 116.15
_cell_angle_gamma 116.15
loop_
_symmetry_equiv_pos_as_xyz
'x,y,z'
loop_
_atom_site_label
_atom_site_type_symbol
_atom_site_fract_x
_atom_site_fract_y
_atom_site_fract_z
_atom_site_occupancy
Rb1 Rb 0.500 0.750 0.250 1
Rb2 Rb 0.500 0.250 0.750 1
Os1 Os 0.000 0.000 0.000 1
Cl1 Cl 0.000 0.719 0.719 1
Cl2 Cl 0.000 0.281 0.281 1
O1 O 0.000 0.813 0.187 1
O2 O 0.626 0.813 0.813 1
O3 O 0.000 0.187 0.813 1
O4 O 0.374 0.187 0.187 1
```